(1)
{"formula": "La2ErTm2Cd5", "functional": "GGA-PBE", "state": "optimized geometry", "cell": [[10.7032, 0.0000, 0.0000], [0.0000, 10.7032, 0.0000], [0.0000, 0.0000, 4.7373]], "species": ["La", "La", "La", "La", "Er", "Er", "Tm", "Tm", "Tm", "Tm", "Cd", "Cd", "Cd", "Cd", "Cd", "Cd", "Cd", "Cd", "Cd", "Cd"], "fractional_positions": [[0.1756, 0.3244, 0.0000], [0.3244, 0.8244, 0.0000], [0.6756, 0.1756, 0.0000], [0.8244, 0.6756, 0.0000], [0.0000, 0.0000, 0.0000], [0.5000, 0.5000, 0.0000], [0.1227, 0.6227, 0.0000], [0.3773, 0.1227, 0.0000], [0.6227, 0.8773, 0.0000], [0.8773, 0.3773, 0.0000], [0.0000, 0.5000, 0.5000], [0.0665, 0.8047, 0.5000], [0.1953, 0.0665, 0.5000], [0.3047, 0.5665, 0.5000], [0.4335, 0.3047, 0.5000], [0.5000, 0.0000, 0.5000], [0.5665, 0.6953, 0.5000], [0.6953, 0.4335, 0.5000], [0.8047, 0.9335, 0.5000], [0.9335, 0.1953, 0.5000]], "energy_ry_per_atom": -0.2205}

---

(2)
{"formula": "Ca4Ac2Sn3H2", "functional": "GGA-PBE", "state": "optimized geometry", "cell": [[-2.4474, 2.4474, 13.1497], [2.4474, -2.4474, 13.1497], [2.4474, 2.4474, -13.1497]], "species": ["Ca", "Ca", "Ca", "Ca", "Ac", "Ac", "Sn", "Sn", "Sn", "H", "H"], "fractional_positions": [[0.0771, 0.5771, 0.5000], [0.4229, 0.9229, 0.5000], [0.5771, 0.0771, 0.5000], [0.9229, 0.4229, 0.5000], [0.1963, 0.1963, 0.0000], [0.8037, 0.8037, 0.0000], [0.3303, 0.3303, 0.0000], [0.5000, 0.5000, 0.0000], [0.6697, 0.6697, 0.0000], [0.0962, 0.0962, 0.0000], [0.9038, 0.9038, 0.0000]], "energy_ry_per_atom": -0.2800}

---

(3)
{"formula": "GdLuGe2", "functional": "GGA-PBE", "state": "optimized geometry", "cell": [[3.7461, 0.0000, 0.0000], [0.0000, 3.7461, 0.0000], [0.0000, 0.0000, 6.3766]], "species": ["Gd", "Lu", "Ge", "Ge"], "fractional_positions": [[0.0000, 0.0000, 0.0000], [0.0000, 0.0000, 0.5000], [0.5000, 0.5000, 0.2789], [0.5000, 0.5000, 0.7211]], "energy_ry_per_atom": -0.5578}

---

(4)
{"formula": "Ba2HoSb3Pt4", "functional": "GGA-PBE", "state": "optimized geometry", "cell": [[4.7445, 0.0000, 0.0000], [0.0000, 4.7445, 0.0000], [0.0000, 0.0000, 11.2123]], "species": ["Ba", "Ba", "Ho", "Sb", "Sb", "Sb", "Pt", "Pt", "Pt", "Pt"], "fractional_positions": [[0.0000, 0.5000, 0.2326], [0.5000, 0.0000, 0.7674], [0.0000, 0.0000, 0.5000], [0.0000, 0.5000, 0.8788], [0.5000, 0.0000, 0.1212], [0.5000, 0.5000, 0.5000], [0.0000, 0.0000, 0.0000], [0.0000, 0.5000, 0.6368], [0.5000, 0.0000, 0.3632], [0.5000, 0.5000, 0.0000]], "formation_energy_uncorrected_ev_per_atom": -0.898}

---

(5)
{"formula": "AlRu2Pb", "functional": "GGA-PBE", "state": "optimized geometry", "cell": [[2.9671, 0.0000, 0.0000], [0.0000, 2.9671, 0.0000], [0.0000, 0.0000, 8.1745]], "species": ["Al", "Ru", "Ru", "Pb"], "fractional_positions": [[0.0000, 0.0000, 0.0000], [0.0000, 0.0000, 0.6131], [0.5000, 0.5000, 0.8062], [0.5000, 0.5000, 0.3383]], "energy_ry_per_atom": -0.4662}

---

(6)
{"formula": "LaCr2Re", "functional": "GGA-PBE", "state": "optimized geometry", "cell": [[2.8998, 0.0000, 0.0000], [0.0000, 4.0714, 0.0000], [-1.1634, 0.0000, 6.1641]], "species": ["La", "Cr", "Cr", "Re"], "fractional_positions": [[0.0000, 0.0000, 0.0000], [0.2011, 0.5000, 0.6576], [0.7989, 0.5000, 0.3424], [0.5000, 0.0000, 0.5000]], "energy_ry_per_atom": -0.6379}

---

(7)
{"formula": "K2Cd2Cl7", "functional": "GGA-PBE", "state": "optimized geometry", "cell": [[4.2756, -4.9922, 0.0000], [4.2756, 4.9922, 0.0000], [0.0000, 0.0000, 7.4011]], "species": ["K", "K", "Cd", "Cd", "Cl", "Cl", "Cl", "Cl", "Cl", "Cl", "Cl"], "fractional_positions": [[0.2342, 0.2342, 0.0000], [0.7658, 0.7658, 0.0000], [0.2697, 0.7303, 0.5000], [0.7303, 0.2697, 0.5000], [0.0000, 0.0000, 0.5000], [0.0000, 0.5000, 0.2667], [0.0000, 0.5000, 0.7333], [0.5000, 0.0000, 0.2667], [0.5000, 0.0000, 0.7333], [0.5000, 0.5000, 0.2796], [0.5000, 0.5000, 0.7204]], "formation_energy_uncorrected_ev_per_atom": -1.146}

---

(8)
{"formula": "AlRe2Ni", "functional": "GGA-PBE", "state": "optimized geometry", "cell": [[1.3697, 0.7908, 8.6120], [-1.3697, 0.7908, 8.6120], [0.0000, -1.5816, 8.6120]], "species": ["Al", "Re", "Re", "Ni"], "fractional_positions": [[0.0000, 0.0000, 0.0000], [0.2474, 0.2474, 0.2474], [0.7526, 0.7526, 0.7526], [0.5000, 0.5000, 0.5000]], "energy_ry_per_atom": -0.6299}

---

(9)
{"formula": "FeIrAu2", "functional": "GGA-PBE", "state": "optimized geometry", "cell": [[2.8069, 0.0000, 0.0000], [0.0000, 4.0626, 0.0000], [-0.0398, 0.0000, 5.5623]], "species": ["Fe", "Ir", "Au", "Au"], "fractional_positions": [[0.0000, 0.0000, 0.0000], [0.0000, 0.0000, 0.5000], [0.4990, 0.5000, 0.2457], [0.5010, 0.5000, 0.7543]], "energy_ry_per_atom": -0.4159}

---

(10)
{"formula": "Co2BiW", "functional": "GGA-PBE", "state": "optimized geometry", "cell": [[-3.4503, 3.4503, 2.8214], [3.4503, -3.4503, 2.8214], [3.4503, 3.4503, -2.8214]], "species": ["Co", "Co", "Co", "Co", "Bi", "Bi", "W", "W"], "fractional_positions": [[0.0932, 0.6250, 0.9682], [0.3750, 0.3432, 0.4682], [0.6568, 0.1250, 0.0318], [0.8750, 0.9068, 0.5318], [0.2500, 0.7500, 0.5000], [0.5000, 0.5000, 0.0000], [0.0000, 0.0000, 0.0000], [0.7500, 0.2500, 0.5000]], "energy_ry_per_atom": -0.5096}

---

(11)
{"formula": "SnBr2N", "functional": "GGA-PBE", "state": "optimized geometry", "cell": [[1.8022, 1.0405, 8.7305], [-1.8022, 1.0405, 8.7305], [0.0000, -2.0810, 8.7305]], "species": ["Sn", "Br", "Br", "N"], "fractional_positions": [[0.0000, 0.0000, 0.0000], [0.1057, 0.1057, 0.1057], [0.8943, 0.8943, 0.8943], [0.5000, 0.5000, 0.5000]], "formation_energy_uncorrected_ev_per_atom": 1.198}

---

(12)
{"formula": "YReNi2Pb", "functional": "GGA-PBE", "state": "optimized geometry", "cell": [[4.6415, 0.0000, 0.0000], [0.0000, 4.6415, 0.0000], [0.0000, 0.0000, 5.2873]], "species": ["Y", "Re", "Ni", "Ni", "Pb"], "fractional_positions": [[0.0000, 0.0000, 0.0000], [0.0000, 0.0000, 0.5000], [0.0000, 0.5000, 0.5000], [0.5000, 0.0000, 0.5000], [0.5000, 0.5000, 0.0000]], "energy_ry_per_atom": -0.4442}

---

(13)
{"formula": "HoPaCuSn", "functional": "GGA-PBE", "state": "optimized geometry", "cell": [[0.0000, 3.6284, 3.6284], [3.6284, 0.0000, 3.6284], [3.6284, 3.6284, 0.0000]], "species": ["Ho", "Pa", "Cu", "Sn"], "fractional_positions": [[0.0000, 0.0000, 0.0000], [0.5000, 0.5000, 0.5000], [0.2500, 0.2500, 0.2500], [0.7500, 0.7500, 0.7500]], "energy_ry_per_atom": -0.4124}

---

Results for magnetization: 0.00 0.00 7.52 0.00 0.00 0.00 0.00 0.00 3.73 0.00 1.91 0.00 1.06 (in μB per cell, following the order of the records).